1.
# KZr3Bi5 PBE relaxed
data_KZr3Bi5
_space_group_name_H-M_alt 'P 6/m m m'
_space_group_IT_number 191
_space_group_name_Hall '-P 6 2'
_cell_length_a 6.1118
_cell_length_b 6.1118
_cell_length_c 9.2420
_cell_angle_alpha 90.00
_cell_angle_beta 90.00
_cell_angle_gamma 120.00
loop_
_atom_site_label
_atom_site_type_symbol
_atom_site_fract_x
_atom_site_fract_y
_atom_site_fract_z
K1 K 0.0000 0.0000 0.0000
Zr1 Zr 0.0000 0.5000 0.5000
Bi1 Bi 0.0000 0.0000 0.5000
Bi2 Bi 0.3333 0.6667 0.2188
# Calculated total energy = -5.526 eV per atom
# Total magnetization = 0.00 μB/cell

***

2.
# KZrBi PBE relaxed
data_KZrBi
_space_group_name_H-M_alt 'F -4 3 m'
_space_group_IT_number 216
_space_group_name_Hall 'F -4 2 3'
_cell_length_a 7.5039
_cell_length_b 7.5039
_cell_length_c 7.5039
_cell_angle_alpha 90.00
_cell_angle_beta 90.00
_cell_angle_gamma 90.00
loop_
_atom_site_label
_atom_site_type_symbol
_atom_site_fract_x
_atom_site_fract_y
_atom_site_fract_z
K1 K 0.0000 0.0000 0.0000
Zr1 Zr 0.2500 0.2500 0.2500
Bi1 Bi 0.2500 0.2500 0.7500
# Calculated total energy = -3.467 eV per atom
# Total magnetization = 8.00 μB/cell

***

Copy entry 1 word for word.
# KZr3Bi5 PBE relaxed
data_KZr3Bi5
_space_group_name_H-M_alt 'P 6/m m m'
_space_group_IT_number 191
_space_group_name_Hall '-P 6 2'
_cell_length_a 6.1118
_cell_length_b 6.1118
_cell_length_c 9.2420
_cell_angle_alpha 90.00
_cell_angle_beta 90.00
_cell_angle_gamma 120.00
loop_
_atom_site_label
_atom_site_type_symbol
_atom_site_fract_x
_atom_site_fract_y
_atom_site_fract_z
K1 K 0.0000 0.0000 0.0000
Zr1 Zr 0.0000 0.5000 0.5000
Bi1 Bi 0.0000 0.0000 0.5000
Bi2 Bi 0.3333 0.6667 0.2188
# Calculated total energy = -5.526 eV per atom
# Total magnetization = 0.00 μB/cell